Density functional theory data (GGA-PBE) for a relaxed LiHgSe2 crystal.

```
4
Lattice="2.8984 -3.8168 0.0000 2.8984 3.8168 0.0000 0.0000 0.0000 3.8440" Properties=species:S:1:pos:R:3 pbc="T T T"
Li 0.0000 0.0000 0.0000
Hg 2.8984 0.0000 0.0000
Se 1.4492 1.9084 1.9220
Se 1.4492 -1.9084 1.9220
```

Calculated values
The calculation puts the spin magnetization at 0.000 μB/f.u. As for the electronic total energy: -2.528 eV/atom. The value obtained for the density is 7.135 g/cm3. Its raw formation energy is -0.232 eV/atom.